Record 1
# TbSc5As6 GGA-PBE optimized geometry
# - Fermi-level density of states (states/eV/atom) = 0.16
# - ΔH_f (0 K) (eV per atom) = -1.39
# - crystal system = monoclinic
data_TbSc5As6
_cell_length_a 6.8028
_cell_length_b 11.7815
_cell_length_c 6.8013
_cell_angle_alpha 90.00
_cell_angle_beta 109.52
_cell_angle_gamma 90.00
_space_group_name_H-M_alt 'C 1 2/m 1'
_space_group_IT_number 12
loop_
_space_group_symop_operation_xyz
'x,y,z'
'-x,-y,-z'
'-x,y,-z'
'x,-y,z'
'x+1/2,y+1/2,z'
'-x+1/2,-y+1/2,-z'
'-x+1/2,y+1/2,-z'
'x+1/2,-y+1/2,z'
loop_
_atom_site_label
_atom_site_type_symbol
_atom_site_fract_x
_atom_site_fract_y
_atom_site_fract_z
Tb1 Tb 0.0000 0.0000 0.0000
Sc1 Sc 0.0000 0.1639 0.5000
Sc2 Sc 0.0000 0.3325 0.0000
Sc3 Sc 0.0000 0.5000 0.5000
As1 As 0.2420 0.5000 0.2542
As2 As 0.2432 0.3288 0.7437

=====

Record 2
# La8Pm6Ho GGA-PBE optimized geometry
# - Fermi-level density of states (states/eV/atom) = 1.66
# - ΔH_f (0 K) (eV per atom) = 0.10
# - crystal system = trigonal
data_La8Pm6Ho
_cell_length_a 9.3365
_cell_length_b 9.3365
_cell_length_c 21.2752
_cell_angle_alpha 90.00
_cell_angle_beta 90.00
_cell_angle_gamma 120.00
_space_group_name_H-M_alt 'R -3'
_space_group_IT_number 148
_space_group_name_Hall '-R 3'
loop_
_atom_site_label
_atom_site_type_symbol
_atom_site_fract_x
_atom_site_fract_y
_atom_site_fract_z
La1 La 0.0000 0.0000 0.0779
La2 La 0.0787 0.5597 0.3069
Pm1 Pm 0.0470 0.2463 0.2057
Ho1 Ho 0.0000 0.0000 0.5000

=====

Record 3
# YHo3Tm6Sc2 GGA-PBE optimized geometry
# - Fermi-level density of states (states/eV/atom) = 1.51
# - ΔH_f (0 K) (eV per atom) = 0.04
# - crystal system = monoclinic
data_YHo3Tm6Sc2
_cell_length_a 6.0107
_cell_length_b 10.3991
_cell_length_c 11.4863
_cell_angle_alpha 90.00
_cell_angle_beta 100.02
_cell_angle_gamma 90.00
_space_group_name_H-M_alt 'C 1 2/m 1'
_space_group_IT_number 12
loop_
_space_group_symop_operation_xyz
'x,y,z'
'-x,-y,-z'
'-x,y,-z'
'x,-y,z'
'x+1/2,y+1/2,z'
'-x+1/2,-y+1/2,-z'
'-x+1/2,y+1/2,-z'
'x+1/2,-y+1/2,z'
loop_
_atom_site_label
_atom_site_type_symbol
_atom_site_fract_x
_atom_site_fract_y
_atom_site_fract_z
Y1 Y 0.0000 0.0000 0.0000
Ho1 Ho 0.0000 0.1669 0.5000
Ho2 Ho 0.0000 0.5000 0.5000
Tm1 Tm 0.2460 0.5000 0.2455
Tm2 Tm 0.2504 0.1681 0.2455
Sc1 Sc 0.0000 0.3333 0.0000

=====

Record 4
# Nd8Ga3PI4 GGA-PBE optimized geometry
# - Fermi-level density of states (states/eV/atom) = 0.52
# - formation energy from raw total energies (eV/atom) = -0.9169
# - crystal system = trigonal
data_Nd8Ga3PI4
_cell_length_a 8.6897
_cell_length_b 8.6897
_cell_length_c 22.8865
_cell_angle_alpha 90.00
_cell_angle_beta 90.00
_cell_angle_gamma 120.00
_space_group_name_H-M_alt 'R -3 m'
_space_group_IT_number 166
_space_group_name_Hall '-R 3 2"'
loop_
_atom_site_label
_atom_site_type_symbol
_atom_site_fract_x
_atom_site_fract_y
_atom_site_fract_z
Nd1 Nd 0.0000 0.0000 0.2364
Nd2 Nd 0.0049 0.5024 0.2342
Ga1 Ga 0.0000 0.5000 0.5000
P1 P 0.0000 0.0000 0.5000
I1 I 0.0000 0.0000 0.0000
I2 I 0.0000 0.5000 0.0000

=====

Record 5
# MnCrS2Cl GGA-PBE optimized geometry
# - Fermi-level density of states (states/eV/atom) = 1.20
# - formation energy from raw total energies (eV/atom) = 0.2432
# - offset from the most stable computed form (meV per atom) = 263.5
# - crystal system = tetragonal
data_MnCrS2Cl
_cell_length_a 4.3668
_cell_length_b 4.3668
_cell_length_c 4.9102
_cell_angle_alpha 90.00
_cell_angle_beta 90.00
_cell_angle_gamma 90.00
_space_group_name_H-M_alt 'P 4/m m m'
_space_group_IT_number 123
_space_group_name_Hall '-P 4 2'
loop_
_atom_site_label
_atom_site_type_symbol
_atom_site_fract_x
_atom_site_fract_y
_atom_site_fract_z
Mn1 Mn 0.0000 0.0000 0.0000
Cr1 Cr 0.5000 0.5000 0.5000
S1 S 0.0000 0.5000 0.0000
Cl1 Cl 0.0000 0.0000 0.5000

=====

Record 6
# Si2Te GGA-PBE optimized geometry
# - Fermi-level density of states (states/eV/atom) = 0.51
# - formation energy from raw total energies (eV/atom) = 0.4652
# - offset from the most stable computed form (meV per atom) = 442.2
# - crystal system = orthorhombic
data_Si2Te
_cell_length_a 3.6364
_cell_length_b 19.0420
_cell_length_c 3.6259
_cell_angle_alpha 90.00
_cell_angle_beta 90.00
_cell_angle_gamma 90.00
_space_group_name_H-M_alt 'C m c m'
_space_group_IT_number 63
_space_group_name_Hall '-C 2c 2'
loop_
_atom_site_label
_atom_site_type_symbol
_atom_site_fract_x
_atom_site_fract_y
_atom_site_fract_z
Si1 Si 0.0000 0.0458 0.2500
Si2 Si 0.0000 0.2628 0.7500
Te1 Te 0.0000 0.3864 0.2500